[1]
SrZnRh2 PBE relaxed; E_form = 0.117 eV/atom; Fermi-level density of states = 2.9 states/eV per cell
1.0
2.990 -4.502 0.000
2.990 4.502 0.000
-1.298 0.000 2.686
Sr Zn Rh
1 1 2
direct
0.000 0.000 0.000
0.500 0.500 0.000
0.000 0.500 0.500
0.500 0.000 0.500


[2]
Sr2Zn3Rh PBE relaxed; E_form = -0.301 eV/atom; polymorph energy (0 for the lowest one) = 0.00 eV per formula unit; Fermi-level density of states = 3.5 states/eV per cell
1.0
4.335 0.000 0.000
0.000 4.442 0.000
0.000 0.000 7.687
Sr Zn Rh
2 3 1
direct
0.000 0.000 0.000
0.000 0.500 0.464
0.500 0.000 0.636
0.500 0.500 0.151
0.500 0.500 0.810
0.500 0.000 0.309